Computed, not measured: crystalline NaGePb2 at its relaxed geometry at the PBE level of DFT.

Unit cell a=3.8444 b=3.8444 c=7.4523 alpha=90.00 beta=90.00 gamma=90.00
Last column: nearest neighbours and their distance in Å.
Fractional coordinates of all 4 atoms:
Na 0.0000 0.0000 0.0000  8 Pb 3.44, 2 Ge 3.73, 4 Na 3.84
Ge 0.0000 0.0000 0.5000  8 Pb 3.16
Pb 0.5000 0.5000 0.2839  4 Ge 3.16, 1 Pb 3.22, 4 Na 3.44
Pb 0.5000 0.5000 0.7161  4 Ge 3.16, 1 Pb 3.22, 4 Na 3.44

Results
The formation energy is 0.017 eV/atom. The total energy is -13.3 eV per cell. The space group is No. 123.